No. 1
Material: MgSe
Method: DFT, PBE
State: optimized geometry

```
MgSe
1.0
-4.076 4.076 4.076
4.076 -4.076 4.076
4.076 4.076 -4.076
Mg Se
4 4
direct
0.000 0.000 0.697 Mg
0.000 0.697 0.000 Mg
0.303 0.303 0.303 Mg
0.697 0.000 0.000 Mg
0.000 0.000 0.338 Se
0.000 0.338 0.000 Se
0.338 0.000 0.000 Se
0.662 0.662 0.662 Se
```

Its uncorrected energy is -3.6985 eV per atom. The value obtained for the formation energy (no corrections) is -1.159 eV/atom. The total moment is 0.000 μB per formula unit.



No. 2
Material: CaPm2VN4
Method: DFT, PBE
State: optimized geometry

```
CaPm2VN4
1.0
1.738 -5.986 0.000
1.738 5.986 0.000
0.000 0.000 12.190
Ca Pm V N
2 4 2 8
direct
0.101 0.899 0.750 Ca
0.899 0.101 0.250 Ca
0.370 0.630 0.541 Pm
0.370 0.630 0.959 Pm
0.630 0.370 0.041 Pm
0.630 0.370 0.459 Pm
0.175 0.825 0.250 V
0.825 0.175 0.750 V
0.000 0.000 0.000 N
0.000 0.000 0.500 N
0.264 0.736 0.132 N
0.264 0.736 0.368 N
0.406 0.594 0.750 N
0.594 0.406 0.250 N
0.736 0.264 0.632 N
0.736 0.264 0.868 N
```

Its uncorrected energy is -7.8954 eV per atom. The value obtained for the formation energy (no corrections) is -1.155 eV/atom. The total moment is 0.492 μB per formula unit.



No. 3
Material: LaBeIr2
Method: DFT, PBE
State: optimized geometry

```
LaBeIr2
1.0
-2.406 2.406 7.624
2.406 -2.406 7.624
2.406 2.406 -7.624
La Be Ir
2 2 4
direct
0.375 0.625 0.750 La
0.625 0.375 0.250 La
0.125 0.875 0.250 Be
0.875 0.125 0.750 Be
0.000 0.000 0.000 Ir
0.000 0.000 0.500 Ir
0.000 0.500 0.000 Ir
0.500 0.000 0.500 Ir
```

Its uncorrected energy is -6.8739 eV per atom. The total moment is 0.000 μB per formula unit.



No. 4
Material: Ba2CdSb4Pd3
Method: DFT, PBE
State: optimized geometry

```
Ba2CdSb4Pd3
1.0
4.798 0.000 0.000
0.000 4.798 0.000
0.000 0.000 11.305
Ba Cd Sb Pd
2 1 4 3
direct
0.000 0.500 0.246 Ba
0.500 0.000 0.754 Ba
0.000 0.000 0.500 Cd
0.000 0.000 0.000 Sb
0.000 0.500 0.641 Sb
0.500 0.000 0.359 Sb
0.500 0.500 0.000 Sb
0.000 0.500 0.882 Pd
0.500 0.000 0.118 Pd
0.500 0.500 0.500 Pd
```

Its uncorrected energy is -4.4158 eV per atom. The value obtained for the formation energy (no corrections) is -0.733 eV/atom. The total moment is 0.000 μB per formula unit.



No. 5
Material: Nd2AlZn12Ni3
Method: DFT, PBE
State: optimized geometry

```
Nd2AlZn12Ni3
1.0
4.229 2.442 6.084
-4.229 2.442 6.084
0.000 -4.883 6.084
Nd Al Zn Ni
2 1 12 3
direct
0.101 0.101 0.101 Nd
0.899 0.899 0.899 Nd
0.500 0.500 0.500 Al
0.122 0.631 0.631 Zn
0.187 0.187 0.641 Zn
0.187 0.641 0.187 Zn
0.359 0.813 0.813 Zn
0.369 0.369 0.878 Zn
0.369 0.878 0.369 Zn
0.631 0.122 0.631 Zn
0.631 0.631 0.122 Zn
0.641 0.187 0.187 Zn
0.813 0.359 0.813 Zn
0.813 0.813 0.359 Zn
0.878 0.369 0.369 Zn
0.000 0.500 0.500 Ni
0.500 0.000 0.500 Ni
0.500 0.500 0.000 Ni
```

Its uncorrected energy is -2.3368 eV per atom. The total moment is 0.000 μB per formula unit.



No. 6
Material: CaTb7Dy12
Method: DFT, PBE
State: optimized geometry

```
CaTb7Dy12
1.0
-5.654 5.654 5.654
5.654 -5.654 5.654
5.654 5.654 -5.654
Ca Tb Dy
1 7 12
direct
0.000 0.000 0.000 Ca
0.000 0.000 0.500 Tb
0.000 0.500 0.000 Tb
0.000 0.500 0.500 Tb
0.500 0.000 0.000 Tb
0.500 0.000 0.500 Tb
0.500 0.500 0.000 Tb
0.500 0.500 0.500 Tb
0.000 0.257 0.743 Dy
0.000 0.743 0.257 Dy
0.257 0.000 0.743 Dy
0.257 0.257 0.513 Dy
0.257 0.513 0.257 Dy
0.257 0.743 0.000 Dy
0.487 0.743 0.743 Dy
0.513 0.257 0.257 Dy
0.743 0.000 0.257 Dy
0.743 0.257 0.000 Dy
0.743 0.487 0.743 Dy
0.743 0.743 0.487 Dy
```

Its uncorrected energy is -3.8129 eV per atom. The total moment is 0.000 μB per formula unit.



No. 7
Material: ScMnSi2
Method: DFT, PBE
State: optimized geometry

```
ScMnSi2
1.0
-2.158 2.158 7.995
2.158 -2.158 7.995
2.158 2.158 -7.995
Sc Mn Si
2 2 4
direct
0.000 0.000 0.000 Sc
0.750 0.250 0.500 Sc
0.250 0.750 0.500 Mn
0.500 0.500 0.000 Mn
0.260 0.625 0.135 Si
0.375 0.510 0.635 Si
0.490 0.125 0.865 Si
0.875 0.740 0.365 Si
```

Its uncorrected energy is -6.5794 eV per atom. The value obtained for the formation energy (no corrections) is 0.007 eV/atom. The total moment is 2.203 μB per formula unit.



No. 8
Material: ScTiAs2
Method: DFT, PBE
State: optimized geometry

```
ScTiAs2
1.0
-2.980 2.980 5.866
2.980 -2.980 5.866
2.980 2.980 -5.866
Sc Ti As
2 2 4
direct
0.000 0.000 0.000 Sc
0.750 0.250 0.500 Sc
0.250 0.750 0.500 Ti
0.500 0.500 0.000 Ti
0.148 0.625 0.023 As
0.375 0.398 0.523 As
0.602 0.125 0.977 As
0.875 0.852 0.477 As
```

The excess energy over the best structure of this formula in the dataset comes out at 2.15 eV per formula unit. Its uncorrected energy is -6.4459 eV per atom. The total moment is 0.000 μB per formula unit.



No. 9
Material: La2Ag4SnGe3
Method: DFT, PBE
State: optimized geometry

```
La2Ag4SnGe3
1.0
4.453 0.000 0.000
0.000 4.453 0.000
0.000 0.000 11.316
La Ag Sn Ge
2 4 1 3
direct
0.000 0.500 0.232 La
0.500 0.000 0.768 La
0.000 0.000 0.000 Ag
0.000 0.500 0.646 Ag
0.500 0.000 0.354 Ag
0.500 0.500 0.000 Ag
0.000 0.000 0.500 Sn
0.000 0.500 0.869 Ge
0.500 0.000 0.131 Ge
0.500 0.500 0.500 Ge
```

Its uncorrected energy is -4.3108 eV per atom. The total moment is 0.000 μB per formula unit.



No. 10
Material: DyErHgOs
Method: DFT, PBE
State: optimized geometry

```
DyErHgOs
1.0
3.440 0.000 0.000
0.000 3.440 0.000
0.000 0.000 7.611
Dy Er Hg Os
1 1 1 1
direct
0.000 0.000 0.000 Dy
0.000 0.000 0.565 Er
0.500 0.500 0.286 Hg
0.500 0.500 0.780 Os
```

The excess energy over the best structure of this formula in the dataset comes out at 0.00 eV per formula unit. Its uncorrected energy is -5.5755 eV per atom. The total moment is 0.000 μB per formula unit.



No. 11
Material: Sr2TmAl4Au3
Method: DFT, PBE
State: optimized geometry

```
Sr2TmAl4Au3
1.0
4.412 0.000 0.000
0.000 4.412 0.000
0.000 0.000 11.954
Sr Tm Al Au
2 1 4 3
direct
0.000 0.500 0.232 Sr
0.500 0.000 0.768 Sr
0.000 0.000 0.500 Tm
0.000 0.000 0.000 Al
0.000 0.500 0.664 Al
0.500 0.000 0.336 Al
0.500 0.500 0.000 Al
0.000 0.500 0.880 Au
0.500 0.000 0.120 Au
0.500 0.500 0.500 Au
```

Its uncorrected energy is -3.7846 eV per atom. The total moment is 0.000 μB per formula unit.



No. 12
Material: BaSbCl2
Method: DFT, PBE
State: optimized geometry

```
BaSbCl2
1.0
4.190 0.000 0.000
0.000 6.095 0.000
-2.095 0.000 5.195
Ba Sb Cl
1 1 2
direct
0.000 0.000 0.000 Ba
0.599 0.500 0.198 Sb
0.293 0.000 0.585 Cl
0.842 0.500 0.681 Cl
```

The excess energy over the best structure of this formula in the dataset comes out at 0.00 eV per formula unit. Its uncorrected energy is -3.7348 eV per atom. The value obtained for the formation energy (no corrections) is -1.300 eV/atom. The total moment is 0.000 μB per formula unit.



No. 13
Material: PmNdSc2
Method: DFT, PBE
State: optimized geometry

```
PmNdSc2
1.0
3.586 -4.558 0.000
3.586 4.558 0.000
0.000 0.000 3.577
Pm Nd Sc
1 1 2
direct
0.000 0.000 0.000 Pm
0.500 0.500 0.000 Nd
0.000 0.500 0.500 Sc
0.500 0.000 0.500 Sc
```

The excess energy over the best structure of this formula in the dataset comes out at 0.01 eV per formula unit. Its uncorrected energy is -5.4937 eV per atom. The total moment is 0.000 μB per formula unit.



No. 14
Material: LaTbSb
Method: DFT, PBE
State: optimized geometry

```
LaTbSb
1.0
8.351 -2.145 0.000
8.351 2.145 0.000
-0.097 0.000 11.170
La Tb Sb
4 4 4
direct
0.032 0.032 0.372 La
0.400 0.400 0.137 La
0.600 0.600 0.863 La
0.968 0.968 0.628 La
0.194 0.194 0.086 Tb
0.246 0.246 0.658 Tb
0.754 0.754 0.342 Tb
0.806 0.806 0.914 Tb
0.376 0.376 0.440 Sb
0.413 0.413 0.821 Sb
0.587 0.587 0.179 Sb
0.624 0.624 0.560 Sb
```

Its uncorrected energy is -5.2286 eV per atom. The value obtained for the formation energy (no corrections) is -0.669 eV/atom. The total moment is 0.227 μB per formula unit.



No. 15
Material: KGa3Tc
Method: DFT, PBE
State: optimized geometry

```
KGa3Tc
1.0
5.712 -3.370 0.000
5.712 3.370 0.000
-3.951 0.000 5.807
K Ga Tc
2 6 2
direct
0.000 0.000 0.000 K
0.136 0.136 0.561 K
0.110 0.610 0.497 Ga
0.493 0.493 0.003 Ga
0.517 0.977 0.023 Ga
0.610 0.110 0.497 Ga
0.688 0.688 0.496 Ga
0.977 0.517 0.023 Ga
0.413 0.413 0.276 Tc
0.561 0.561 0.720 Tc
```

The excess energy over the best structure of this formula in the dataset comes out at 0.45 eV per formula unit. Its uncorrected energy is -4.1961 eV per atom. The total moment is 0.000 μB per formula unit.



No. 16
Material: BaLiMg2Au
Method: DFT, PBE
State: optimized geometry

```
BaLiMg2Au
1.0
5.235 0.000 0.000
0.000 5.235 0.000
0.000 0.000 5.275
Ba Li Mg Au
1 1 2 1
direct
0.000 0.000 0.000 Ba
0.500 0.500 0.000 Li
0.000 0.500 0.500 Mg
0.500 0.000 0.500 Mg
0.500 0.500 0.500 Au
```

The excess energy over the best structure of this formula in the dataset comes out at 0.00 eV per formula unit. Its uncorrected energy is -2.3241 eV per atom. The total moment is 0.004 μB per formula unit.



No. 17
Material: Cs4La3SmSe8
Method: DFT, PBE
State: optimized geometry

```
Cs4La3SmSe8
1.0
4.463 2.577 8.384
-4.463 2.577 8.384
0.000 -5.154 8.384
Cs La Sm Se
4 3 1 8
direct
0.000 0.000 0.000 Cs
0.000 0.500 0.500 Cs
0.500 0.000 0.500 Cs
0.500 0.500 0.000 Cs
0.000 0.000 0.500 La
0.000 0.500 0.000 La
0.500 0.000 0.000 La
0.500 0.500 0.500 Sm
0.230 0.230 0.230 Se
0.236 0.727 0.727 Se
0.273 0.273 0.764 Se
0.273 0.764 0.273 Se
0.727 0.236 0.727 Se
0.727 0.727 0.236 Se
0.764 0.273 0.273 Se
0.770 0.770 0.770 Se
```

Its uncorrected energy is -4.9655 eV per atom. The value obtained for the formation energy (no corrections) is -1.791 eV/atom. The total moment is 0.000 μB per formula unit.



No. 18
Material: NbCdRh
Method: DFT, PBE
State: optimized geometry

```
NbCdRh
1.0
4.718 -2.068 0.000
4.718 2.068 0.000
-2.146 0.000 5.346
Nb Cd Rh
2 2 2
direct
0.022 0.022 0.285 Nb
0.978 0.978 0.715 Nb
0.327 0.327 0.916 Cd
0.673 0.673 0.084 Cd
0.338 0.338 0.427 Rh
0.662 0.662 0.573 Rh
```

Its uncorrected energy is -6.2533 eV per atom. The total moment is 0.000 μB per formula unit.



No. 19
Material: Er4Bi2Te5
Method: DFT, PBE
State: optimized geometry

```
Er4Bi2Te5
1.0
13.065 -2.102 0.000
13.065 2.102 0.000
-0.749 0.000 7.732
Er Bi Te
4 2 5
direct
0.035 0.035 0.266 Er
0.349 0.349 0.901 Er
0.651 0.651 0.099 Er
0.965 0.965 0.734 Er
0.227 0.227 0.871 Bi
0.773 0.773 0.129 Bi
0.073 0.073 0.918 Te
0.148 0.148 0.380 Te
0.500 0.500 0.500 Te
0.852 0.852 0.620 Te
0.927 0.927 0.082 Te
```

Its uncorrected energy is -4.7153 eV per atom. The value obtained for the formation energy (no corrections) is -0.922 eV/atom. The total moment is 0.000 μB per formula unit.



No. 20
Material: SnTe2Se
Method: DFT, PBE
State: optimized geometry

```
SnTe2Se
1.0
2.172 1.254 8.851
-2.172 1.254 8.851
0.000 -2.508 8.851
Sn Te Se
1 2 1
direct
0.000 0.000 0.000 Sn
0.400 0.400 0.400 Te
0.600 0.600 0.600 Te
0.500 0.500 0.500 Se
```

Its uncorrected energy is -3.3681 eV per atom. The value obtained for the formation energy (no corrections) is 0.075 eV/atom. The total moment is 0.000 μB per formula unit.



No. 21
Material: SnS2NCl
Method: DFT, PBE
State: optimized geometry

```
SnS2NCl
1.0
4.957 0.000 0.000
0.000 4.957 0.000
0.000 0.000 3.886
Sn S N Cl
1 2 1 1
direct
0.000 0.000 0.000 Sn
0.000 0.500 0.500 S
0.500 0.000 0.500 S
0.500 0.500 0.000 N
0.500 0.500 0.500 Cl
```

The excess energy over the best structure of this formula in the dataset comes out at 2.73 eV per formula unit. Its uncorrected energy is -3.2277 eV per atom. The value obtained for the formation energy (no corrections) is 1.258 eV/atom. The total moment is 1.491 μB per formula unit.



No. 22
Material: MgCuP3
Method: DFT, PBE
State: optimized geometry

```
MgCuP3
1.0
4.549 0.000 0.000
0.000 4.549 0.000
0.000 0.000 4.549
Mg Cu P
1 1 3
direct
0.000 0.000 0.000 Mg
0.500 0.500 0.500 Cu
0.000 0.500 0.500 P
0.500 0.000 0.500 P
0.500 0.500 0.000 P
```

The excess energy over the best structure of this formula in the dataset comes out at 0.00 eV per formula unit. Its uncorrected energy is -3.7857 eV per atom. The total moment is 0.000 μB per formula unit.